(1)
Compound: LaReI2N
Source: the Alexandria database
Functional: PBE-GGA
Structure: relaxed

Unit cell a=5.6847 b=5.6847 c=3.8442 alpha=90.00 beta=90.00 gamma=90.00
Last column: nearest neighbours and their distance in Å.
Fractional positions:
La1 0.0000 0.0000 0.0000  8 I 3.43
Re1 0.5000 0.5000 0.5000  2 N 1.92
I1 0.0000 0.5000 0.5000  2 Re 2.84
I2 0.5000 0.0000 0.5000  2 Re 2.84
N1 0.5000 0.5000 0.0000  2 Re 1.92

Values from the calculation:
- Space-group type: No. 123
- Formation energy from raw total energies: -2.9 kJ per mole of atoms
- Energy relative to the lowest polymorph listed for this composition: 0.000 eV per atom

(2)
Compound: ScFe2N
Source: the Alexandria database
Functional: PBE-GGA
Structure: relaxed

Unit cell a=5.1210 b=5.1210 c=5.1210 alpha=101.98 beta=101.98 gamma=125.80
Last column: nearest neighbours and their distance in Å.
Fractional positions:
Sc1 0.0000 0.0000 0.0000  2 N 2.33, 4 Fe 2.48
Sc2 0.7500 0.2500 0.5000  2 N 2.33, 4 Fe 2.48
Fe1 0.2674 0.6250 0.1424  2 N 1.85
Fe2 0.3750 0.5174 0.6424  2 N 1.85
Fe3 0.4826 0.1250 0.8576  2 N 1.85
Fe4 0.8750 0.7326 0.3576  2 N 1.85
N1 0.2500 0.7500 0.5000  4 Fe 1.85
N2 0.5000 0.5000 0.0000  4 Fe 1.85

Values from the calculation:
- Space-group type: No. 122
- Formation energy from raw total energies: -24.2 kJ per mole of atoms

(3)
Compound: CsNbAgCl6
Source: the Alexandria database
Functional: PBE-GGA
Structure: relaxed

Unit cell a=7.0303 b=7.0303 c=14.8185 alpha=90.00 beta=90.00 gamma=120.00
Last column: nearest neighbours and their distance in Å.
Fractional positions:
Cs1 0.0000 0.0000 0.0000  6 Cl 3.52
Cs2 0.0000 0.0000 0.5000  6 Cl 3.52
Nb1 0.3333 0.6667 0.2500  6 Cl 2.44
Nb2 0.6667 0.3333 0.7500  6 Cl 2.44
Ag1 0.3333 0.6667 0.7500  6 Cl 2.80
Ag2 0.6667 0.3333 0.2500  6 Cl 2.80
Cl1 0.0374 0.3975 0.1547  1 Nb 2.44
Cl2 0.0374 0.6399 0.3453  1 Nb 2.44
Cl3 0.3601 0.3975 0.3453  1 Nb 2.44
Cl4 0.3601 0.9626 0.1547  1 Nb 2.44
Cl5 0.3975 0.0374 0.6547  1 Nb 2.44
Cl6 0.3975 0.3601 0.8453  1 Nb 2.44
Cl7 0.6025 0.6399 0.1547  1 Nb 2.44
Cl8 0.6025 0.9626 0.3453  1 Nb 2.44
Cl9 0.6399 0.0374 0.8453  1 Nb 2.44
Cl10 0.6399 0.6025 0.6547  1 Nb 2.44
Cl11 0.9626 0.3601 0.6547  1 Nb 2.44
Cl12 0.9626 0.6025 0.8453  1 Nb 2.44

Values from the calculation:
- Space-group type: No. 163
- Formation energy from raw total energies: -120.0 kJ per mole of atoms